[1]
The following is a DFT calculation (PBE-GGA) of a relaxed structure of NdSmIrBr.

As for the raw total energy: -72.98 eV/cell.

The space group is R3m (No. 160, hexagonal axes) and the conventional cell measures 4.1388, 4.1388 and 23.5258 Å, with angles of 90.00, 90.00 and 120.00 degrees. The inequivalent atoms are Nd at (0.0000, 0.0000, 0.0000), Sm at (0.0000, 0.0000, 0.7945), Ir at (0.0000, 0.0000, 0.3982) and Br at (0.0000, 0.0000, 0.2271).


[2]
The following is a DFT calculation (PBE-GGA) of a relaxed structure of AlInBiF6.

As for the raw total energy: -44.53 eV/cell.

The space group is P1 (No. 1) and the conventional cell measures 5.0826, 5.0953 and 5.6339 Å, with angles of 82.62, 86.73 and 81.22 degrees. The inequivalent atoms are Al at (0.0000, 0.0000, 0.0000), In at (0.4515, 0.4232, 0.2967), Bi at (0.9191, 0.5517, 0.5803), F at (0.1686, 0.1456, 0.7358), F at (0.2067, 0.6773, 0.9887), F at (0.2193, 0.1043, 0.2010), F at (0.7684, 0.8983, 0.7980), F at (0.7738, 0.3280, 0.9928) and F at (0.7965, 0.8828, 0.2589).


[3]
The following is a DFT calculation (PBE-GGA) of a relaxed structure of CePuCuRh.

As for the raw total energy: -132.99 eV/cell.

The space group is F-43m (No. 216) and the conventional cell measures 6.6272, 6.6272 and 6.6272 Å, with angles of 90.00, 90.00 and 90.00 degrees. The inequivalent atoms are Ce at (0.0000, 0.0000, 0.0000), Pu at (0.2500, 0.2500, 0.7500), Cu at (0.0000, 0.0000, 0.5000) and Rh at (0.2500, 0.2500, 0.2500).


[4]
The following is a DFT calculation (PBE-GGA) of a relaxed structure of Ho3CoSn.

The value obtained for the excess energy over the best structure of this formula in the dataset is 0 meV/atom.

The space group is P2_1/m (No. 11) and the conventional cell measures 7.7788, 4.3360 and 8.2138 Å, with angles of 90.00, 115.14 and 90.00 degrees. The inequivalent atoms are Ho at (0.0453, 0.2500, 0.2371), Ho at (0.3256, 0.2500, 0.9125), Ho at (0.3318, 0.7500, 0.5893), Co at (0.0587, 0.2500, 0.5759) and Sn at (0.3265, 0.7500, 0.1968).


What did we get for mass density? Answer: 8.09 5.40 12.56 8.90 g cm⁻³, in the order shown.